A plane-wave DFT calculation with PBE with a Hubbard U was carried out for a relaxed structure of Cs2CoNiO4.

The structure in POSCAR format:
```
Cs2CoNiO4
1.0
5.093 0.000 0.000
2.546 6.223 0.000
2.546 0.000 10.839
Cs Co Ni O
4 2 2 8
Cartesian
2.546 0.000 7.078
5.093 0.000 3.761
6.366 3.112 9.181
6.366 3.112 1.658
3.820 3.112 5.419
2.546 0.000 0.000
6.366 3.112 5.419
0.000 0.000 0.000
3.911 5.203 0.943
3.911 1.020 9.896
8.821 5.203 9.896
3.728 1.020 0.943
5.001 4.132 4.477
5.001 2.091 6.362
7.731 4.132 6.362
2.638 2.091 4.477
```

Computed properties:
The total moment is 6.981 μB per formula unit. The space group is No. 70. The value obtained for the final energy is -4.73 eV per atom.